Co4RePt | GGA-PBE | relaxed

The structure in extended XYZ format:
```
6
Lattice="0.000 3.287 3.287 3.287 0.000 3.287 3.287 3.287 0.000" Properties=species:S:1:pos:R:3 pbc="T T T"
Co 0.822 0.822 0.822
Co 2.465 2.465 0.822
Co 2.465 0.822 2.465
Co 0.822 2.465 2.465
Re 3.287 3.287 3.287
Pt 4.930 4.930 4.930
```

## Properties
**Total moment**: 1.514 μB/cell
**Theoretical density**: 14.43 g/cm3
**Volume**: 71.01 Å³ per cell
**DFT formation energy**: 0.530 eV per formula unit